Record 1
The following is a PBE-GGA calculation of Tb2PdCl after structural relaxation, from Alexandria.

a = 3.9807 Å, b = 3.9807 Å, c = 7.9334 Å
α = 75.47°, β = 75.47°, γ = 60.00°
Closest atoms and distances in Å follow each position.
Atoms (fractional coordinates):
Tb  0.0707  0.0707  0.7878  3 Pd 2.79, 3 Cl 3.12
Tb  0.2646  0.2646  0.2061  3 Pd 2.80
Pd  0.6678  0.6678  0.9965  6 Tb 2.79-2.80
Cl  0.4968  0.4968  0.5096  6 Tb 3.12-3.25

Summary:
Total moment in μB per formula unit: 0.00
Raw formation energy in eV/atom: -1.06
SG: R3m

=====

Record 2
The following is a PBE-GGA calculation of Na2Li2NpO6 after structural relaxation, from Alexandria.

a = 5.3075 Å, b = 5.3075 Å, c = 5.4473 Å
α = 90.00°, β = 90.00°, γ = 120.00°
Closest atoms and distances in Å follow each position.
Atoms (fractional coordinates):
Na  0.3333  0.6667  0.4999  6 O 2.44, 2 Li 2.72
Na  0.6667  0.3333  0.5001  6 O 2.44, 2 Li 2.72
Li  0.3333  0.6667  0.9999  6 O 2.12
Li  0.6667  0.3333  0.0001  6 O 2.12
Np  0.0000  0.0000  0.0000  6 O 2.00
O  0.3169  0.3170  0.7999  1 Np 2.00, 2 Li 2.12
O  0.0000  0.6831  0.7999  1 Np 2.00, 2 Li 2.12
O  0.6830  0.0000  0.7999  1 Np 2.00, 2 Li 2.12
O  0.6831  0.6830  0.2001  1 Np 2.00, 2 Li 2.12
O  0.0000  0.3169  0.2001  1 Np 2.00, 2 Li 2.12
O  0.3170  0.0000  0.2001  1 Np 2.00, 2 Li 2.12

Summary:
Total moment in μB per formula unit: 0.55
Raw formation energy in eV/atom: -2.05
SG: P-31m

=====

Record 3
The following is a PBE-GGA calculation of Gd2Er4C after structural relaxation, from Alexandria.

a = 4.8282 Å, b = 4.8282 Å, c = 9.5296 Å
α = 75.33°, β = 75.33°, γ = 90.00°
Closest atoms and distances in Å follow each position.
Atoms (fractional coordinates):
C  0.0000  0.0000  0.0000  6 Er 2.35-2.41
Gd  0.6736  0.6736  0.6527  5 Er 3.46-3.49
Gd  0.3264  0.3264  0.3473  5 Er 3.46-3.49
Er  0.8679  0.8679  0.2642  1 C 2.35
Er  0.1321  0.1321  0.7358  1 C 2.35
Er  0.0000  0.5000  0.0000  2 C 2.41
Er  0.5000  0.0000  0.0000  2 C 2.41

Summary:
Total moment in μB per formula unit: 16.72
SG: I4/mmm
Energy relative to the elements in eV per atom: 0.114

=====

Record 4
The following is a PBE-GGA calculation of Bi3PdSe after structural relaxation, from Alexandria.

a = 5.5072 Å, b = 5.5072 Å, c = 5.5072 Å
α = 90.00°, β = 90.00°, γ = 90.00°
Closest atoms and distances in Å follow each position.
Atoms (fractional coordinates):
Se  0.0000  0.0000  0.0000  6 Bi 2.75
Bi  0.0000  0.5000  0.0000  2 Se 2.75
Bi  0.0000  0.0000  0.5000  2 Se 2.75
Bi  0.5000  0.0000  0.0000  2 Se 2.75
Pd  0.5000  0.5000  0.5000  12 Bi 3.89

Summary:
Total moment in μB per formula unit: 0.00
Raw formation energy in eV/atom: 0.74
SG: Pm-3m

=====

Number 1: DOS at the Fermi energy 4.43 states/eV per cell. Number 2: DOS at the Fermi energy 9.51 states/eV per cell. Number 3: DOS at the Fermi energy 14.52 states/eV per cell. Number 4: DOS at the Fermi energy 6.63 states/eV per cell.